# 1
Density functional theory data (PBE) for a geometry-optimized ScBe2Zn structure.

Output
Calculated total energy = -3.78 eV/atom
Symmetry = F-43m (216)

The structure in POSCAR format:
```
ScBe2Zn
1.0
0.000 2.982 2.982
2.982 0.000 2.982
2.982 2.982 0.000
Sc Be Zn
1 2 1
Direct
0.000 0.000 0.000
0.500 0.500 0.500
0.750 0.750 0.750
0.250 0.250 0.250
```

---

# 2
Density functional theory data (PBE) for a geometry-optimized ScBe2Zn structure.

Output
Calculated total energy = -3.78 eV/atom
Symmetry = F-43m (216)

The structure in POSCAR format:
```
ScBe2Zn
1.0
0.000 2.979 2.979
2.979 0.000 2.979
2.979 2.979 0.000
Sc Be Zn
1 2 1
Direct
0.000 0.000 0.000
0.250 0.250 0.250
0.500 0.500 0.500
0.750 0.750 0.750
```

---

# 3
Density functional theory data (PBE) for a geometry-optimized ZrScBe structure.

Output
ΔE to the lowest computed polymorph = 0.000 eV per atom
Symmetry = F-43m (216)

The structure in POSCAR format:
```
ZrScBe
1.0
0.000 3.106 3.106
3.106 0.000 3.106
3.106 3.106 0.000
Zr Sc Be
1 1 1
Direct
0.000 0.000 0.000
0.500 0.500 0.500
0.750 0.750 0.750
```

---

# 4
Density functional theory data (PBE) for a geometry-optimized Zr2ScBe structure.

Output
Calculated total energy = -6.51 eV/atom
Symmetry = F-43m (216)

The structure in POSCAR format:
```
Zr2ScBe
1.0
0.000 3.394 3.394
3.394 0.000 3.394
3.394 3.394 0.000
Zr Sc Be
2 1 1
Direct
0.000 0.000 0.000
0.250 0.250 0.250
0.750 0.750 0.750
0.500 0.500 0.500
```

---

# 5
Density functional theory data (PBE) for a geometry-optimized TbBeTlSe3 structure.

Output
Calculated total energy = -4.67 eV/atom
Symmetry = Cmcm (63)

The structure in POSCAR format:
```
TbBeTlSe3
1.0
1.999 -7.468 0.000
1.999 7.468 0.000
0.000 0.000 10.907
Tb Be Tl Se
2 2 2 6
Direct
0.000 0.000 0.000
0.000 0.000 0.500
0.463 0.537 0.750
0.537 0.463 0.250
0.249 0.751 0.250
0.751 0.249 0.750
0.057 0.943 0.750
0.377 0.623 0.581
0.377 0.623 0.919
0.623 0.377 0.081
0.623 0.377 0.419
0.943 0.057 0.250
```

---

# 6
Density functional theory data (PBE) for a geometry-optimized TmBeTlSe3 structure.

Output
Calculated total energy = -4.65 eV/atom
Symmetry = Cmcm (63)

The structure in POSCAR format:
```
TmBeTlSe3
1.0
1.972 -7.471 0.000
1.972 7.471 0.000
0.000 0.000 10.722
Tm Be Tl Se
2 2 2 6
Direct
0.000 0.000 0.000
0.000 0.000 0.500
0.464 0.536 0.750
0.536 0.464 0.250
0.251 0.749 0.250
0.749 0.251 0.750
0.057 0.943 0.750
0.379 0.621 0.578
0.379 0.621 0.922
0.621 0.379 0.078
0.621 0.379 0.422
0.943 0.057 0.250
```